First-principles (meta-GGA SCAN) data for a crystal of SmCoSi3 relaxed with PBEsol, as listed in the Alexandria database.

Structure (POSCAR):
```
SmCoSi3
1.0
4.058 0.000 0.000
0.000 4.058 0.000
0.000 0.000 9.487
Sm Co Si
2 2 6
Direct
0.000 0.000 0.000
0.500 0.500 0.500
0.000 0.000 0.343
0.500 0.500 0.843
0.000 0.000 0.576
0.000 0.500 0.244
0.000 0.500 0.744
0.500 0.000 0.244
0.500 0.000 0.744
0.500 0.500 0.076
```

As for the uncorrected formation energy: -634 meV/atom.